Compound: Pa4Ni4Rh
Source: the Alexandria database
Functional: PBE-GGA
Structure: optimized geometry

Unit cell a=7.682 b=7.682 c=5.645 alpha=90.00 beta=90.00 gamma=90.00
Positions (direct):
Pa: 0.076 0.801 0.106
Pa: 0.199 0.576 0.606
Pa: 0.301 0.924 0.606
Pa: 0.424 0.699 0.106
Pa: 0.576 0.301 0.894
Pa: 0.699 0.076 0.394
Pa: 0.801 0.424 0.394
Pa: 0.924 0.199 0.894
Ni: 0.056 0.168 0.371
Ni: 0.168 0.444 0.129
Ni: 0.332 0.056 0.129
Ni: 0.444 0.332 0.371
Ni: 0.556 0.668 0.629
Ni: 0.668 0.944 0.871
Ni: 0.832 0.556 0.871
Ni: 0.944 0.832 0.629
Rh: 0.250 0.250 0.750
Rh: 0.750 0.750 0.250

Values from the calculation:
Volume   333.1 Å³ per cell
Total DFT energy (no corrections)   -141.58 eV for the cell shown
ΔE_f   -0.259 eV/atom